Record 1
Here is Rb3Br6Cl after structural relaxation from Alexandria via LeMat-Bulk. Energies are from PBE.

The calculation puts the calculated total energy at -2.274 eV per atom. For the mass density, the calculation gives 2884 kg/m³. The formation energy (no corrections) comes out at -795 meV per atom.

The space group is I4/mmm (No. 139) and the conventional cell measures 8.0001, 8.0001 and 13.8780 Å, with angles of 90.00, 90.00 and 90.00 degrees. The inequivalent atoms are Rb at (0.0000, 0.0000, 0.0000), Rb at (0.0000, 0.5000, 0.2500), Br at (0.0000, 0.0000, 0.2333), Br at (0.2168, 0.2168, 0.5000) and Cl at (0.0000, 0.0000, 0.5000).

=====

Record 2
Here is B3AsI after structural relaxation from Alexandria via LeMat-Bulk. Energies are from PBE.

The energy above the most stable polymorph in this dataset comes out at 0.000 eV/atom. The calculation puts the calculated total energy at -3.377 eV per atom. For the mass density, the calculation gives 4858 kg/m³. The formation energy (no corrections) comes out at 1870 meV per atom.

The space group is Pm-3m (No. 221) and the conventional cell measures 4.3103, 4.3103 and 4.3103 Å, with angles of 90.00, 90.00 and 90.00 degrees. The inequivalent atoms are B at (0.0000, 0.0000, 0.5000), As at (0.0000, 0.0000, 0.0000) and I at (0.5000, 0.5000, 0.5000).

=====

no.,total moment (Bohr magnetons per cell)
1,0.00
2,0.00